*w*
{
  "formula": "Ca2YSb",
  "functional": "PBE",
  "state": "relaxed",
  "space_group": "Pmmm",
  "magmom_total_mub_per_fu": 0.0,
  "cell": [[4.3027, 0.0000, 0.0000], [0.0000, 4.3139, 0.0000], [0.0000, 0.0000, 6.7146]],
  "species": ["Ca", "Ca", "Y", "Sb"],
  "fractional_positions": [[0.0000, 0.0000, 0.2307], [0.0000, 0.0000, 0.7693], [0.5000, 0.5000, 0.5000], [0.5000, 0.5000, 0.0000]]
}

***

*x*
{
  "formula": "Ca2YSb",
  "functional": "PBE",
  "state": "relaxed",
  "space_group": "Imm2",
  "magmom_total_mub_per_fu": 0.0,
  "cell": [[-2.0865, 2.6934, 5.8133], [2.0865, -2.6934, 5.8133], [2.0865, 2.6934, -5.8133]],
  "species": ["Ca", "Ca", "Y", "Sb"],
  "fractional_positions": [[0.0000, 0.0000, 0.0000], [0.7058, 0.2058, 0.5000], [0.4150, 0.4150, 0.0000], [0.2143, 0.7143, 0.5000]]
}

***

*y*
{
  "formula": "Ca2YSb",
  "functional": "PBE",
  "state": "relaxed",
  "space_group": "Pm",
  "magmom_total_mub_per_fu": 0.8,
  "cell": [[4.1847, 0.0000, 0.0000], [0.0000, 4.1848, 0.0000], [-0.0151, 0.0000, 7.2491]],
  "species": ["Ca", "Ca", "Y", "Sb"],
  "fractional_positions": [[0.0000, 0.0000, 0.0000], [0.4985, 0.5000, 0.7097], [0.9977, 0.0000, 0.4445], [0.4982, 0.5000, 0.2464]]
}

***

*z*
{
  "formula": "Ca2YSb",
  "functional": "PBE",
  "state": "relaxed",
  "space_group": "P4/mmm",
  "magmom_total_mub_per_fu": 0.3,
  "cell": [[3.8136, 0.0000, 0.0000], [0.0000, 3.8136, 0.0000], [0.0000, 0.0000, 9.1660]],
  "species": ["Ca", "Ca", "Y", "Sb"],
  "fractional_positions": [[0.0000, 0.0000, 0.2000], [0.0000, 0.0000, 0.8000], [0.5000, 0.5000, 0.5000], [0.5000, 0.5000, 0.0000]]
}

***

Energy relative to the most stable one, in meV per atom: *w* 37; *x* 0; *y* 7; *z* 127

***

*w*
{
  "formula": "Ca2YSb",
  "functional": "PBE",
  "state": "relaxed",
  "space_group": "R-3m",
  "magmom_total_mub_per_fu": 1.1,
  "cell": [[1.8853, 1.0885, 11.0239], [-1.8853, 1.0885, 11.0239], [0.0000, -2.1770, 11.0239]],
  "species": ["Ca", "Ca", "Y", "Sb"],
  "fractional_positions": [[0.2378, 0.2378, 0.2378], [0.7622, 0.7622, 0.7622], [0.0000, 0.0000, 0.0000], [0.5000, 0.5000, 0.5000]]
}

***

*x*
{
  "formula": "Ca2YSb",
  "functional": "PBE",
  "state": "relaxed",
  "space_group": "F-43m",
  "magmom_total_mub_per_fu": 0.0,
  "cell": [[0.0000, 3.9176, 3.9176], [3.9176, 0.0000, 3.9176], [3.9176, 3.9176, 0.0000]],
  "species": ["Ca", "Ca", "Y", "Sb"],
  "fractional_positions": [[0.0000, 0.0000, 0.0000], [0.2500, 0.2500, 0.2500], [0.7500, 0.7500, 0.7500], [0.5000, 0.5000, 0.5000]]
}

***

Energy relative to the most stable one, in meV per atom: *w* 17; *x* 0

***

*w*
{
  "formula": "CaY2Sb2",
  "functional": "PBE",
  "state": "relaxed",
  "space_group": "I4/mmm",
  "magmom_total_mub_per_fu": 1.0,
  "cell": [[-2.4209, 2.4209, 6.8773], [2.4209, -2.4209, 6.8773], [2.4209, 2.4209, -6.8773]],
  "species": ["Ca", "Y", "Y", "Sb", "Sb"],
  "fractional_positions": [[0.0000, 0.0000, 0.0000], [0.2500, 0.7500, 0.5000], [0.7500, 0.2500, 0.5000], [0.3874, 0.3874, 0.0000], [0.6126, 0.6126, 0.0000]]
}

***

*x*
{
  "formula": "CaY2Sb2",
  "functional": "PBE",
  "state": "relaxed",
  "space_group": "P4/mbm",
  "magmom_total_mub_per_fu": 0.0,
  "cell": [[8.3356, 0.0000, 0.0000], [0.0000, 8.3356, 0.0000], [0.0000, 0.0000, 4.1770]],
  "species": ["Ca", "Ca", "Y", "Y", "Y", "Y", "Sb", "Sb", "Sb", "Sb"],
  "fractional_positions": [[0.0000, 0.0000, 0.0000], [0.5000, 0.5000, 0.0000], [0.1531, 0.3469, 0.5000], [0.3469, 0.8469, 0.5000], [0.6531, 0.1531, 0.5000], [0.8469, 0.6531, 0.5000], [0.1487, 0.6487, 0.0000], [0.3513, 0.1487, 0.0000], [0.6487, 0.8513, 0.0000], [0.8513, 0.3513, 0.0000]]
}

***

Energy relative to the most stable one, in meV per atom: *w* 284; *x* 0

***

*w*
{
  "formula": "CaYSb2",
  "functional": "PBE",
  "state": "relaxed",
  "space_group": "R3m",
  "magmom_total_mub_per_fu": 0.0,
  "cell": [[2.3024, 1.3293, 7.0249], [-2.3024, 1.3293, 7.0249], [0.0000, -2.6586, 7.0249]],
  "species": ["Ca", "Y", "Sb", "Sb"],
  "fractional_positions": [[0.0000, 0.0000, 0.0000], [0.1737, 0.1737, 0.1737], [0.4233, 0.4233, 0.4233], [0.5825, 0.5825, 0.5825]]
}

***

*x*
{
  "formula": "CaYSb2",
  "functional": "PBE",
  "state": "relaxed",
  "space_group": "Cmmm",
  "magmom_total_mub_per_fu": 0.0,
  "cell": [[2.3850, -2.9105, 0.0000], [2.3850, 2.9105, 0.0000], [0.0000, 0.0000, 8.2835]],
  "species": ["Ca", "Y", "Sb", "Sb"],
  "fractional_positions": [[0.0000, 0.0000, 0.0000], [0.0000, 0.0000, 0.5000], [0.5000, 0.5000, 0.2602], [0.5000, 0.5000, 0.7398]]
}

***

*y*
{
  "formula": "CaYSb2",
  "functional": "PBE",
  "state": "relaxed",
  "space_group": "Fm-3m",
  "magmom_total_mub_per_fu": 0.0,
  "cell": [[0.0000, 3.8435, 3.8435], [3.8435, 0.0000, 3.8435], [3.8435, 3.8435, 0.0000]],
  "species": ["Ca", "Y", "Sb", "Sb"],
  "fractional_positions": [[0.0000, 0.0000, 0.0000], [0.5000, 0.5000, 0.5000], [0.2500, 0.2500, 0.2500], [0.7500, 0.7500, 0.7500]]
}

***

Energy relative to the most stable one, in meV per atom: *w* 0; *x* 24; *y* 80